A relaxed NaCuAs2Br crystal. Source: Alexandria via LeMat-Bulk, functional PBE-GGA.

- Total magnetization: 0.38 μB per formula unit
- Symmetry: No. 123
- Offset from the most stable computed form: 0 meV/atom
- Energy relative to the elements, uncorrected: 6 kJ/mol of formula units
- DOS at the Fermi energy: 0.51 states/eV per atom

Unit cell a=4.4956 b=4.4956 c=7.7740 alpha=90.00 beta=90.00 gamma=90.00
Positions (direct):
Na (0.0000, 0.0000, 0.0000)
Cu (0.5000, 0.5000, 0.5000)
As (0.0000, 0.5000, 0.5000)
As (0.5000, 0.0000, 0.5000)
Br (0.5000, 0.5000, 0.0000)